NiSnSbO2 after structural relaxation. Source: Alexandria via LeMat-Bulk, functional PBE+U.

The structure belongs to space group P4/mmm (No. 123); the cell edges are 3.960, 3.960 and 5.298 Å and the angles 90.00°, 90.00° and 90.00°. The asymmetric unit holds Ni at (0.000, 0.000, 0.000), Sn at (0.000, 0.000, 0.500), Sb at (0.500, 0.500, 0.000) and O at (0.000, 0.500, 0.500).

The crystal system is tetragonal. The total magnetization comes out at 0.00 μB per formula unit. For the offset from the most stable computed form, the calculation gives 0.10 eV per formula unit.